#P
RbTa3As | GGA-PBE | relaxed

```
RbTa3As
1.0
4.956 0.000 0.000
0.000 4.956 0.000
0.000 0.000 4.956
Ta As Rb
3 1 1
direct
0.000 0.500 0.000
0.000 0.000 0.500
0.500 0.000 0.000
0.000 0.000 0.000
0.500 0.500 0.500
```

## Properties
symmetry: Pm-3m (221)
density: 9590 kg/m³

***

#Q
RbTa3As | GGA-PBE | relaxed

```
RbTa3As
1.0
-2.079 -3.413 2.703
4.351 -1.514 1.435
-0.167 3.056 3.730
Ta As Rb
3 1 1
direct
0.000 0.000 0.500
0.000 0.500 0.000
0.500 0.000 0.000
0.500 0.500 0.500
0.000 0.000 0.000
```

## Properties
symmetry: Pm-3m (221)
density: 10396 kg/m³

***

#P wins, 1738 meV/atom ahead of the next structure.

***

#P
RbTaAs3 | GGA-PBE | relaxed

```
RbTaAs3
1.0
5.105 0.000 0.000
0.000 5.105 0.000
0.000 0.000 5.105
Ta As Rb
1 3 1
direct
0.000 0.000 0.000
0.000 0.000 0.500
0.000 0.500 0.000
0.500 0.000 0.000
0.500 0.500 0.500
```

## Properties
symmetry: Pm-3m (221)
density: 6130 kg/m³

***

#Q
RbTaAs3 | GGA-PBE | relaxed

```
RbTaAs3
1.0
5.201 0.000 0.000
0.000 5.201 0.000
0.000 0.000 5.201
As Ta Rb
3 1 1
direct
0.000 0.500 0.000
0.000 0.000 0.500
0.500 0.000 0.000
0.500 0.500 0.500
0.000 0.000 0.000
```

## Properties
symmetry: Pm-3m (221)
density: 5797 kg/m³

***

#P wins, 2535 meV/atom ahead of the next structure.

***

#P
Rb2Tc2As | GGA-PBE | relaxed

```
Rb2Tc2As
1.0
-7.491 0.475 -7.142
0.970 -10.175 -1.694
-1.958 -0.523 2.019
Tc As Rb
4 2 4
direct
0.572 0.072 0.000
0.928 0.572 0.000
0.072 0.428 0.000
0.428 0.928 0.000
0.500 0.500 0.000
0.000 0.000 0.000
0.712 0.788 0.500
0.788 0.288 0.500
0.212 0.712 0.500
0.288 0.212 0.500
```

## Properties
symmetry: P4/mbm (127)
density: 4780 kg/m³

***

#Q
Rb2Tc2As | GGA-PBE | relaxed

```
Rb2Tc2As
1.0
7.074 0.000 0.000
0.000 7.074 0.000
3.537 3.537 3.539
Tc Rb As
2 2 1
direct
0.354 0.354 0.292
0.646 0.646 0.708
0.750 0.250 0.500
0.250 0.750 0.500
0.000 0.000 0.000
```

## Properties
symmetry: I4/mmm (139)
density: 4143 kg/m³

***

#Q wins, 183 meV/atom ahead of the next structure.

***

#P
RbTc2As2 | GGA-PBE | relaxed

```
RbTc2As2
1.0
-2.096 0.759 3.175
2.295 -2.341 2.075
4.724 5.182 4.248
Rb As Tc
1 2 2
direct
0.000 0.000 0.000
0.645 0.645 0.710
0.355 0.355 0.290
0.750 0.250 0.500
0.250 0.750 0.500
```

## Properties
symmetry: I4/mmm (139)
density: 6159 kg/m³

***

#Q
RbTc2As2 | GGA-PBE | relaxed

```
RbTc2As2
1.0
-0.630 -2.508 2.828
3.674 -1.082 -0.142
1.835 5.533 5.316
As Tc Rb
2 2 1
direct
0.500 0.500 0.282
0.500 0.500 0.718
0.000 0.500 0.500
0.500 0.000 0.500
0.000 0.000 0.000
```

## Properties
symmetry: P4/mmm (123)
density: 6181 kg/m³

***

#P wins, 222 meV/atom ahead of the next structure.